No. 1
The following is a DFT calculation (PBE) of LaAsPb after structural relaxation.

Calculated values
* relative energy among the computed polymorphs: 0.200 eV/atom
* energy of formation: -0.586 eV/atom
* volume: 93.3 Å³/f.u.
* symmetry: F-43m
* DOS at the Fermi energy: 1.30 states/eV per cell

Cell lengths 5.092, 5.092, 5.092 Å; angles 60.00, 60.00, 60.00 degrees
Element x y z (fractional)
La 0.000 0.000 0.000
As 0.250 0.250 0.250
Pb 0.500 0.500 0.500

No. 2
The following is a DFT calculation (PBE) of LaAsPb2 after structural relaxation.

Calculated values
* relative energy among the computed polymorphs: 0.251 eV/atom
* energy of formation: -0.315 eV/atom
* volume: 123.7 Å³/f.u.
* symmetry: I-42d
* DOS at the Fermi energy: 5.78 states/eV per cell

Cell lengths 7.044, 7.044, 7.044 Å; angles 101.05, 101.05, 128.08 degrees
Element x y z (fractional)
La 0.000 0.000 0.000
La 0.750 0.250 0.500
As 0.250 0.750 0.500
As 0.500 0.500 0.000
Pb 0.172 0.625 0.047
Pb 0.375 0.422 0.547
Pb 0.578 0.125 0.953
Pb 0.875 0.828 0.453

No. 3
The following is a DFT calculation (PBE) of La4AsPb after structural relaxation.

Calculated values
* energy of formation: -0.026 eV/atom
* volume: 186.1 Å³/f.u.
* symmetry: F-43m
* DOS at the Fermi energy: 4.41 states/eV per cell

Cell lengths 6.408, 6.408, 6.408 Å; angles 60.00, 60.00, 60.00 degrees
Element x y z (fractional)
La 0.125 0.125 0.125
La 0.125 0.125 0.626
La 0.125 0.626 0.125
La 0.626 0.125 0.125
As 0.500 0.500 0.500
Pb 0.750 0.750 0.750

No. 4
The following is a DFT calculation (PBE) of LaAsPb2 after structural relaxation.

Calculated values
* relative energy among the computed polymorphs: 0.007 eV/atom
* energy of formation: -0.559 eV/atom
* volume: 128.1 Å³/f.u.
* symmetry: P4mm
* DOS at the Fermi energy: 2.37 states/eV per cell

Cell lengths 4.276, 4.276, 7.006 Å; angles 90.00, 90.00, 90.00 degrees
Element x y z (fractional)
La 0.000 0.000 0.000
As 0.500 0.500 0.928
Pb 0.000 0.000 0.509
Pb 0.500 0.500 0.333

No. 5
The following is a DFT calculation (PBE) of La2AsPb after structural relaxation.

Calculated values
* relative energy among the computed polymorphs: 0.260 eV/atom
* energy of formation: -0.812 eV/atom
* volume: 115.2 Å³/f.u.
* symmetry: C2/m
* DOS at the Fermi energy: 3.73 states/eV per cell

Cell lengths 5.381, 5.381, 4.067 Å; angles 90.16, 90.16, 102.02 degrees
Element x y z (fractional)
La 0.000 0.500 0.000
La 0.500 0.000 0.000
As 0.000 0.000 0.500
Pb 0.500 0.500 0.500

No. 6
The following is a DFT calculation (PBE) of LaAsPb2 after structural relaxation.

Calculated values
* relative energy among the computed polymorphs: 0.501 eV/atom
* energy of formation: -0.066 eV/atom
* volume: 122.2 Å³/f.u.
* symmetry: R-3m
* DOS at the Fermi energy: 2.43 states/eV per cell

Cell lengths 9.205, 9.205, 9.205 Å; angles 24.97, 24.97, 24.97 degrees
Element x y z (fractional)
La 0.000 0.000 0.000
As 0.500 0.500 0.500
Pb 0.235 0.235 0.235
Pb 0.765 0.765 0.765